(1)
The following is a GGA-PBE calculation of a relaxed ZnCrCd2 crystal, from Alexandria.

Cell: 4.9162 6.7543 3.2159 Å, 62.00 89.74 122.24°
With the nearest neighbours (Å) after each atom.
Atoms (fractional coordinates):
Cr: 0.5000 0.5000 0.0000  8 Cd 2.93-2.94, 2 Zn 2.98, 2 Cr 3.22
Cd: 0.0000 0.0000 0.0000  4 Zn 2.93-2.94, 4 Cr 2.93-2.94, 4 Cd 2.98-3.22
Cd: 0.0000 0.5000 0.5000  4 Cr 2.93-2.94, 4 Zn 2.93-2.94, 4 Cd 2.98-3.22
Zn: 0.5000 0.0000 0.5000  8 Cd 2.93-2.94, 2 Cr 2.98, 2 Zn 3.22

## Properties
Space-group type ... C2/m (12)

***

(2)
The following is a GGA-PBE calculation of a relaxed TiI3N crystal, from Alexandria.

Cell: 4.9716 4.9716 4.9716 Å, 90.00 90.00 90.00°
With the nearest neighbours (Å) after each atom.
Atoms (fractional coordinates):
Ti: 0.5000 0.5000 0.5000  12 I 3.52
I: 0.0000 0.0000 0.5000  2 N 2.49
N: 0.0000 0.0000 0.0000  6 I 2.49
I: 0.0000 0.5000 0.0000  2 N 2.49
I: 0.5000 0.0000 0.0000  2 N 2.49

## Properties
Energy relative to the lowest polymorph listed for this composition ... 640.1 meV/atom
E_form (uncorrected) ... 1128 meV per atom
Space-group type ... Pm-3m (221)

***

(3)
The following is a GGA-PBE calculation of a relaxed TiMn4Cr crystal, from Alexandria.

Cell: 4.6832 4.6832 4.6832 Å, 60.00 60.00 60.00°
With the nearest neighbours (Å) after each atom.
Atoms (fractional coordinates):
Cr: 0.0000 0.0000 0.0000  12 Mn 2.75, 4 Ti 2.87
Ti: 0.2500 0.2500 0.2500  12 Mn 2.74, 4 Cr 2.87
Mn: 0.6243 0.6243 0.6243  6 Mn 2.33-2.36
Mn: 0.6243 0.6243 0.1272  6 Mn 2.33-2.36
Mn: 0.1272 0.6243 0.6243  6 Mn 2.33-2.36
Mn: 0.6243 0.1272 0.6243  6 Mn 2.33-2.36

## Properties
Space-group type ... F-43m (216)

***

(4)
The following is a GGA-PBE calculation of a relaxed RbAg4Te2 crystal, from Alexandria.

Cell: 4.4823 9.0548 9.0548 Å, 90.00 90.00 90.00°
With the nearest neighbours (Å) after each atom.
Atoms (fractional coordinates):
Ag: 0.5000 0.5765 0.1417  5 Ag 2.92-3.05, 3 Te 2.98
Te: 0.5000 0.2767 0.2767  6 Ag 2.98
Ag: 0.0000 0.6417 0.9235  5 Ag 2.92-3.05, 3 Te 2.98
Ag: 0.0000 0.0765 0.3583  5 Ag 2.92-3.05, 3 Te 2.98
Te: 0.0000 0.2233 0.7767  6 Ag 2.98
Te: 0.5000 0.7233 0.7233  6 Ag 2.98
Rb: 0.0000 0.5000 0.5000  6 Te 3.54-3.63
Ag: 0.0000 0.9235 0.6417  5 Ag 2.92-3.05, 3 Te 2.98
Rb: 0.5000 0.0000 0.0000  6 Te 3.54-3.63
Ag: 0.5000 0.8583 0.4235  5 Ag 2.92-3.05, 3 Te 2.98
Ag: 0.5000 0.1417 0.5765  5 Ag 2.92-3.05, 3 Te 2.98
Ag: 0.0000 0.3583 0.0765  5 Ag 2.92-3.05, 3 Te 2.98
Ag: 0.5000 0.4235 0.8583  5 Ag 2.92-3.05, 3 Te 2.98
Te: 0.0000 0.7767 0.2233  6 Ag 2.98

## Properties
Energy relative to the lowest polymorph listed for this composition ... 0.0 meV/atom
E_form (uncorrected) ... -248 meV per atom
Space-group type ... P4_2/mnm (136)

***

(5)
The following is a GGA-PBE calculation of a relaxed SrLi2Ag crystal, from Alexandria.

Cell: 6.3369 6.3369 6.3369 Å, 42.53 42.53 42.53°
With the nearest neighbours (Å) after each atom.
Atoms (fractional coordinates):
Ag: 0.7500 0.7500 0.7500  6 Li 2.72
Li: 0.4512 0.4512 0.4512  3 Ag 2.72, 3 Li 2.91
Sr: 0.2500 0.2500 0.2500  8 Li 3.47-3.50
Li: 0.0488 0.0488 0.0488  3 Ag 2.72, 3 Li 2.91

## Properties
Space-group type ... R-3m (166)

***

(6)
The following is a GGA-PBE calculation of a relaxed Y3Ni crystal, from Alexandria.

Cell: 3.6879 9.7014 3.6879 Å, 100.96 60.00 100.96°
With the nearest neighbours (Å) after each atom.
Atoms (fractional coordinates):
Y: 0.7272 0.1817 0.7272  3 Ni 2.74
Ni: 0.0000 0.0000 0.0000  6 Y 2.74
Y: 0.2728 0.8183 0.2728  3 Ni 2.74
Y: 0.5000 0.5000 0.5000  12 Y 3.69

## Properties
Space-group type ... R-3m (166)

***

(7)
The following is a GGA-PBE calculation of a relaxed Tb3Al7Zn2 crystal, from Alexandria.

Cell: 5.5441 5.5441 9.2380 Å, 72.54 72.54 60.00°
With the nearest neighbours (Å) after each atom.
Atoms (fractional coordinates):
Al: 0.5850 0.0759 0.7540  2 Zn 2.65-2.69, 5 Al 2.72-2.82
Al: 0.4150 0.4150 0.2460  2 Zn 2.65-2.69, 5 Al 2.72-2.82
Al: 0.5000 0.5000 0.5000  6 Al 2.74
Al: 0.5850 0.5850 0.7540  2 Zn 2.65-2.69, 5 Al 2.72-2.82
Al: 0.0759 0.5850 0.7540  2 Zn 2.65-2.69, 5 Al 2.72-2.82
Al: 0.9241 0.4150 0.2460  2 Zn 2.65-2.69, 5 Al 2.72-2.82
Zn: 0.3352 0.3352 0.9945  6 Al 2.65-2.69
Tb: 0.1409 0.1409 0.5773  12 Al 3.17-3.27, 3 Tb 3.47
Tb: 0.8591 0.8591 0.4227  12 Al 3.17-3.27, 3 Tb 3.47
Tb: 0.0000 0.0000 0.0000  6 Zn 3.20, 12 Al 3.50
Zn: 0.6648 0.6648 0.0055  6 Al 2.65-2.69
Al: 0.4150 0.9241 0.2460  2 Zn 2.65-2.69, 5 Al 2.72-2.82

## Properties
Space-group type ... R-3m (166)

***

(8)
The following is a GGA-PBE calculation of a relaxed Te2MoAu crystal, from Alexandria.

Cell: 3.0974 3.0974 10.6624 Å, 90.00 90.00 114.50°
With the nearest neighbours (Å) after each atom.
Atoms (fractional coordinates):
Au: 0.5000 0.5000 0.2500  6 Au 3.10-3.35
Te: 0.0000 0.0000 0.5425  2 Mo 2.78, 4 Te 3.10
Mo: 0.5000 0.5000 0.7500  4 Te 2.78, 4 Mo 3.10
Te: 0.0000 0.0000 0.9575  2 Mo 2.78, 4 Te 3.10

## Properties
Energy relative to the lowest polymorph listed for this composition ... 386.5 meV/atom
E_form (uncorrected) ... 487 meV per atom
Space-group type ... Cmmm (65)

***

no.,electronic total energy (eV for the cell shown)
1,-11.604
2,-15.229
3,-54.428
4,-40.789
5,-8.721
6,-25.431
7,-47.745
8,-18.443